Record 1
Density functional theory data (GGA-PBE) for a geometry-optimized Pm2Si2S7 structure.

- ΔE_f (raw) (eV/atom) = -1.15

Unit cell a=5.910 b=7.079 c=7.079 alpha=101.88 beta=97.09 gamma=97.09
Fractional coordinates of all 11 atoms:
S (0.271, 0.914, 0.589)
S (0.271, 0.589, 0.914)
S (0.000, 0.000, 0.000)
S (0.775, 0.609, 0.609)
S (0.729, 0.411, 0.086)
S (0.225, 0.391, 0.391)
S (0.729, 0.086, 0.411)
Si (0.085, 0.775, 0.775)
Si (0.915, 0.225, 0.225)
Pm (0.500, 0.701, 0.299)
Pm (0.500, 0.299, 0.701)

Record 2
Density functional theory data (GGA-PBE) for a geometry-optimized CsKZnBr4 structure.

- ΔE_f (raw) (eV/atom) = -1.44

Unit cell a=7.553 b=7.684 c=9.922 alpha=90.00 beta=108.69 gamma=90.00
Fractional coordinates of all 14 atoms:
Br (0.001, 0.500, 0.741)
Br (0.999, 0.500, 0.259)
Br (0.401, 0.750, 0.151)
Br (0.599, 0.250, 0.849)
Br (0.001, 0.000, 0.741)
Br (0.601, 0.250, 0.442)
Br (0.399, 0.750, 0.558)
Br (0.999, 0.000, 0.259)
K (0.777, 0.750, 0.450)
K (0.223, 0.250, 0.550)
Zn (0.789, 0.250, 0.690)
Zn (0.211, 0.750, 0.310)
Cs (0.721, 0.750, 0.927)
Cs (0.279, 0.250, 0.073)

Record 3
Density functional theory data (GGA-PBE) for a geometry-optimized Li2TlTc structure.

- formation energy from the elements (eV/atom) = 0.373
- distance to the lowest polymorph of the same formula (meV/atom) = 92

Unit cell a=2.846 b=2.846 c=9.235 alpha=90.00 beta=90.00 gamma=103.89
Fractional coordinates of all 4 atoms:
Li (0.500, 0.500, 0.267)
Li (0.000, 0.000, 0.994)
Tc (0.000, 0.000, 0.492)
Tl (0.500, 0.500, 0.747)